Here is a relaxed NdDy5Cd6 crystal from Alexandria. Energies are from GGA-PBE.

The energy relative to the elements comes out at -3.8 eV per formula unit. The total magnetic moment comes out at 1.959 Bohr magnetons per cell.

The structure belongs to space group Cmmm (No. 65); the cell edges are 5.298, 15.936 and 7.573 Å and the angles 90.00°, 90.00° and 90.00°. The distinct sites, in fractional coordinates, are Nd at (0.000, 0.000, 0.000), Dy at (0.000, 0.000, 0.500), Dy at (0.000, 0.332, 0.000), Dy at (0.000, 0.335, 0.500), Cd at (0.000, 0.170, 0.255) and Cd at (0.000, 0.500, 0.255).


Here is a relaxed LuTl2Zn crystal from Alexandria. Energies are from GGA-PBE.

The energy relative to the elements comes out at -0.5 eV per formula unit. The total magnetic moment comes out at 0.000 Bohr magnetons per cell.

The structure belongs to space group P4/mmm (No. 123); the cell edges are 4.593, 4.593 and 4.476 Å and the angles 90.00°, 90.00° and 90.00°. The distinct sites, in fractional coordinates, are Lu at (0.000, 0.000, 0.000), Tl at (0.000, 0.500, 0.500) and Zn at (0.500, 0.500, 0.000).